[1]
A geometry-optimized InReAs structure, computed with GGA-PBE.

Cell lengths 3.1794, 3.1794, 6.4269 Å; angles 90.00, 90.00, 120.00 degrees
Atoms (fractional coordinates):
In (0.0000, 0.0000, 0.0000)
Re (0.6667, 0.3333, 0.3447)
As (0.3333, 0.6667, 0.6048)

Computed properties:
The calculation puts the formation energy at 0.6 eV per formula unit. The value obtained for the density of states at the Fermi level is 0.4470 states/eV per atom. The value obtained for the offset from the most stable computed form is 0.0 meV/atom.

***

[2]
A geometry-optimized Zn structure, computed with GGA-PBE.

Cell lengths 4.5328, 4.5328, 2.4301 Å; angles 90.00, 90.00, 120.00 degrees
Atoms (fractional coordinates):
Zn (0.3333, 0.6667, 0.0000)
Zn (0.6667, 0.3333, 0.0000)

Computed properties:
The calculation puts the formation energy at 0.3 eV per formula unit. The value obtained for the density of states at the Fermi level is 0.3400 states/eV per atom. The value obtained for the offset from the most stable computed form is 325.1 meV/atom.

***

no.,raw total energy (eV/atom)
1,-6.40
2,-0.95